Below is Li3Ga4Pd2 after structural relaxation, with properties calculated at the PBE-GGA level.

electronic total energy	-65.6	eV/cell
crystal system	monoclinic
formation enthalpy at 0 K	-4.584	eV per formula unit
ΔE to the lowest computed polymorph	17.4	meV per atom

Cell lengths 9.7544, 4.3328, 8.0864 Å; angles 90.00, 124.36, 90.00 degrees
Closest atoms and distances in Å follow each position.
Space group C2/m (No. 12)
Symmetry-distinct sites (fractional):
Li 0.0000 0.0000 0.0000  6 Ga 2.77-2.90, 2 Li 2.83, 4 Pd 2.89
Li 0.1640 0.5000 0.6700  8 Ga 2.76-2.97, 2 Li 2.80-2.83, 4 Pd 2.88-2.98
Ga 0.0672 0.0000 0.3983  3 Pd 2.51-2.65, 1 Ga 2.62
Ga 0.1890 0.5000 0.0272  2 Pd 2.54-2.63, 2 Ga 2.63, 3 Li 2.76-2.77
Pd 0.1201 0.5000 0.2865  5 Ga 2.51-2.65

Below is Rb2Te5 after structural relaxation, with properties calculated at the PBE-GGA level.

electronic total energy	-42.9	eV/cell
crystal system	monoclinic
raw formation energy	-52.33	kJ/mol of atoms

Cell lengths 11.6534, 9.4343, 5.9167 Å; angles 90.00, 118.01, 90.00 degrees
Closest atoms and distances in Å follow each position.
Space group C2/m (No. 12)
Symmetry-distinct sites (fractional):
Rb 0.1838 0.0000 0.3603  9 Te 3.75-4.04
Te 0.0000 0.5000 0.0000  4 Te 3.07
Te 0.0925 0.2648 0.7641  2 Te 2.84-3.07

Below is ScCu3Ni after structural relaxation, with properties calculated at the PBE-GGA level.

electronic total energy	-17.2	eV/cell
crystal system	cubic
formation enthalpy at 0 K	7.233	eV per formula unit
ΔE to the lowest computed polymorph	1259.5	meV per atom

Cell lengths 4.6278, 4.6278, 4.6278 Å; angles 90.00, 90.00, 90.00 degrees
Closest atoms and distances in Å follow each position.
Space group Pm-3m (No. 221)
Symmetry-distinct sites (fractional):
Sc 0.0000 0.0000 0.0000  6 Cu 2.31
Cu 0.0000 0.0000 0.5000  2 Sc 2.31
Ni 0.5000 0.5000 0.5000  12 Cu 3.27